[1]
The following is a DFT calculation (GGA-PBE) of an optimized crystal structure of CsPCl4.

Energy relative to the lowest polymorph listed for this composition, meV/atom: 0.0
Formation energy from raw total energies, eV/atom: -1.0822

Cell: 6.471 6.475 12.726 Å, 75.44 75.61 82.04°
Element x y z (fractional)
Cs 0.191 0.191 0.095
Cs 0.809 0.809 0.905
P 0.462 0.462 0.254
P 0.538 0.538 0.746
Cl 0.223 0.598 0.365
Cl 0.268 0.732 0.000
Cl 0.315 0.314 0.789
Cl 0.400 0.777 0.635
Cl 0.600 0.223 0.365
Cl 0.685 0.686 0.211
Cl 0.732 0.268 0.000
Cl 0.777 0.402 0.635

[2]
The following is a DFT calculation (GGA-PBE) of an optimized crystal structure of TaAlSbPt2.

Formation energy from raw total energies, eV/atom: 0.7852

Cell: 4.525 4.525 5.083 Å, 90.00 90.00 90.00°
Element x y z (fractional)
Ta 0.000 0.000 0.000
Al 0.500 0.500 0.500
Sb 0.500 0.500 0.000
Pt 0.000 0.500 0.500
Pt 0.500 0.000 0.500

[3]
The following is a DFT calculation (GGA-PBE) of an optimized crystal structure of K2HoZn2Se4.

Formation energy from raw total energies, eV/atom: -1.0974

Cell: 8.306 8.306 8.158 Å, 112.58 112.58 28.27°
Element x y z (fractional)
K 0.128 0.128 0.061
K 0.872 0.872 0.939
Ho 0.000 0.000 0.500
Zn 0.313 0.313 0.486
Zn 0.687 0.687 0.514
Se 0.192 0.192 0.710
Se 0.470 0.470 0.722
Se 0.530 0.530 0.278
Se 0.808 0.808 0.290

[4]
The following is a DFT calculation (GGA-PBE) of an optimized crystal structure of Tm6Pb3CS2.

Formation energy from raw total energies, eV/atom: -0.9917

Cell: 6.527 6.527 7.975 Å, 97.84 97.84 120.14°
Element x y z (fractional)
Tm 0.061 0.369 0.183
Tm 0.242 0.242 0.811
Tm 0.369 0.061 0.183
Tm 0.631 0.939 0.817
Tm 0.758 0.758 0.189
Tm 0.939 0.631 0.817
Pb 0.182 0.818 0.500
Pb 0.500 0.500 0.500
Pb 0.818 0.182 0.500
C 0.000 0.000 0.000
S 0.335 0.665 0.000
S 0.665 0.335 0.000

[5]
The following is a DFT calculation (GGA-PBE) of an optimized crystal structure of TeRu2Br.

Energy relative to the lowest polymorph listed for this composition, meV/atom: 259.3
Formation energy from raw total energies, eV/atom: 0.6359

Cell: 5.777 5.777 11.466 Å, 90.00 90.00 90.00°
Element x y z (fractional)
Te 0.000 0.000 0.000
Te 0.000 0.500 0.250
Te 0.500 0.000 0.750
Te 0.500 0.500 0.500
Ru 0.234 0.250 0.625
Ru 0.250 0.734 0.875
Ru 0.250 0.766 0.375
Ru 0.266 0.250 0.125
Ru 0.734 0.750 0.125
Ru 0.750 0.234 0.375
Ru 0.750 0.266 0.875
Ru 0.766 0.750 0.625
Br 0.000 0.000 0.500
Br 0.000 0.500 0.750
Br 0.500 0.000 0.250
Br 0.500 0.500 0.000

[6]
The following is a DFT calculation (GGA-PBE) of an optimized crystal structure of In2CuF.

Energy relative to the lowest polymorph listed for this composition, meV/atom: 0.0
Formation energy from raw total energies, eV/atom: -0.5473

Cell: 6.631 6.631 6.631 Å, 90.00 90.00 90.00°
Element x y z (fractional)
In 0.250 0.250 0.250
In 0.250 0.250 0.750
In 0.250 0.750 0.250
In 0.250 0.750 0.750
In 0.750 0.250 0.250
In 0.750 0.250 0.750
In 0.750 0.750 0.250
In 0.750 0.750 0.750
Cu 0.000 0.000 0.000
Cu 0.000 0.500 0.500
Cu 0.500 0.000 0.500
Cu 0.500 0.500 0.000
F 0.000 0.000 0.500
F 0.000 0.500 0.000
F 0.500 0.000 0.000
F 0.500 0.500 0.500

The VASP energy results, record by record, are as follows: -3.36 -5.57 -3.68 -5.61 -5.21 -3.41 eV per atom.